## RbTl3Pd (PBE)

Data for a relaxed RbTl3Pd crystal.

Values from the calculation:
energy above the lowest structure with this stoichiometry = 0.000 eV/atom
space-group type = No. 2
ΔH_f (0 K) = -0.109 eV per atom

Lattice parameters (Å, degrees): 6.5589 7.0380 7.8647 59.08 88.86 89.17
Last column: nearest neighbours and their distance in Å.
Atoms (fractional coordinates):
Pd1 0.6203 0.9762 0.7563  6 Tl 2.82-3.05
Tl1 0.8449 0.8620 0.5018  2 Pd 2.89
Rb1 0.3591 0.4914 0.7120  9 Tl 3.68-4.10, 3 Pd 3.70-4.01, 1 Rb 3.94
Tl2 0.1938 0.9244 0.8225  2 Pd 2.83-3.00
Pd2 0.0690 0.7480 0.2469  6 Tl 2.82-3.05
Tl3 0.8450 0.3621 0.5018  2 Pd 2.82
Tl4 0.4957 0.7996 0.1806  2 Pd 2.83-3.00
Tl5 0.8348 0.5768 0.0214  2 Pd 2.86-3.05, 2 Tl 3.17-3.19
Tl6 0.8546 0.1473 0.9820  2 Pd 2.86-3.05, 2 Tl 3.17-3.19
Rb2 0.3306 0.2327 0.2910  9 Tl 3.68-4.10, 3 Pd 3.69-4.01, 1 Rb 3.94